First-principles (PBE+U) data for a relaxed structure of Tl2CoF2, as listed in Alexandria via LeMat-Bulk.

Cell: 7.5125 7.5125 3.4028 Å, 90.00 90.00 90.00°
Site moments in Bohr magnetons follow the coordinates.
Fractional coordinates of all 10 atoms:
Co (0.0000, 0.0000, 0.0000)  2.50
Co (0.5000, 0.5000, 0.0000)  2.50
F (0.8619, 0.6381, 0.0000)  0.01
F (0.3619, 0.8619, 0.0000)  0.01
F (0.6381, 0.1381, 0.0000)  0.01
F (0.1381, 0.3619, 0.0000)  0.01
Tl (0.6703, 0.8297, 0.5000)  0.01
Tl (0.1703, 0.6703, 0.5000)  0.01
Tl (0.8297, 0.3297, 0.5000)  0.01
Tl (0.3297, 0.1703, 0.5000)  0.01

Polymorph energy (0 for the lowest one): 226 meV per atom
M_tot: 5.128 Bohr magnetons per cell
Raw total energy: -3.44 eV per atom